Entry 1:
## PmBeGaIr (GGA-PBE)

Data for a relaxed PmBeGaIr crystal.

## Properties
Total DFT energy (no corrections) (Ry/atom): -0.4150
DOS at the Fermi energy (states/eV/f.u.): 1.65
Formation energy (eV/f.u.): -2.2

Cell lengths 4.0915, 4.0915, 15.5921 Å; angles 90.00, 90.00, 120.00 degrees
Closest atoms and distances in Å follow each position.
Space group R3m (No. 160, hexagonal axes)
Asymmetric unit:
Pm 0.0000 0.0000 0.0000  4 Ga 3.06-3.19, 4 Ir 3.08-3.22, 3 Be 3.11
Be 0.0000 0.0000 0.4634  3 Ir 2.36, 3 Ga 2.58
Ga 0.0000 0.0000 0.1962  3 Be 2.58, 3 Ir 2.60
Ir 0.0000 0.0000 0.7935  3 Be 2.36, 3 Ga 2.60


Entry 2:
## Pm2Be4GaIr3 (GGA-PBE)

Data for a relaxed Pm2Be4GaIr3 crystal.

## Properties
Total DFT energy (no corrections) (Ry/atom): -0.4356
DOS at the Fermi energy (states/eV/f.u.): 4.16
Formation energy (eV/f.u.): -5.3

Cell lengths 3.9178, 3.9178, 10.1318 Å; angles 90.00, 90.00, 90.00 degrees
Closest atoms and distances in Å follow each position.
Space group P-4m2 (No. 115)
Asymmetric unit:
Pm 0.0000 0.5000 0.2421  6 Ir 3.02-3.27, 8 Be 3.03-3.14, 2 Ga 3.27
Be 0.0000 0.0000 0.0000  4 Ir 2.32
Be 0.0000 0.5000 0.6363  3 Ir 2.40-2.44, 2 Ga 2.40
Be 0.5000 0.5000 0.0000  4 Ir 2.32
Ga 0.0000 0.0000 0.5000  4 Be 2.40
Ir 0.0000 0.5000 0.8767  5 Be 2.32-2.44
Ir 0.5000 0.5000 0.5000  4 Be 2.40


Entry 3:
## Pm2BeGa3Ir4 (GGA-PBE)

Data for a relaxed Pm2BeGa3Ir4 crystal.

## Properties
Total DFT energy (no corrections) (Ry/atom): -0.4722
DOS at the Fermi energy (states/eV/f.u.): 6.03
Formation energy (eV/f.u.): -6.5

Cell lengths 4.2445, 4.2445, 10.0347 Å; angles 90.00, 90.00, 90.00 degrees
Closest atoms and distances in Å follow each position.
Space group P-4m2 (No. 115)
Asymmetric unit:
Pm 0.0000 0.5000 0.2456  6 Ga 3.21-3.32, 8 Ir 3.25-3.29, 2 Be 3.32
Be 0.0000 0.0000 0.5000  4 Ir 2.44
Ga 0.0000 0.5000 0.8677  5 Ir 2.48-2.50
Ga 0.5000 0.5000 0.5000  4 Ir 2.44
Ir 0.0000 0.0000 0.0000  4 Ga 2.50
Ir 0.0000 0.5000 0.6202  2 Be 2.44, 3 Ga 2.44-2.48
Ir 0.5000 0.5000 0.0000  4 Ga 2.50


Entry 4:
## Pr3BeGa2Ir3 (GGA-PBE)

Data for a relaxed Pr3BeGa2Ir3 crystal.

## Properties
Total DFT energy (no corrections) (Ry/atom): -0.4528
DOS at the Fermi energy (states/eV/f.u.): 6.23
Formation energy (eV/f.u.): -4.7

Cell lengths 7.2881, 7.2881, 3.8924 Å; angles 90.00, 90.00, 120.00 degrees
Closest atoms and distances in Å follow each position.
Space group P-62m (No. 189)
Asymmetric unit:
Pr 0.0000 0.3829 0.0000  1 Be 2.79, 4 Ga 2.99, 4 Ir 3.11
Be 0.0000 0.0000 0.0000  6 Ir 2.53, 3 Pr 2.79
Ga 0.3333 0.6667 0.5000  3 Ir 2.92, 6 Pr 2.99
Ir 0.0000 0.7774 0.5000  2 Be 2.53, 2 Ir 2.81


Entry 5:
## PuBeGaIr (GGA-PBE)

Data for a relaxed PuBeGaIr crystal.

## Properties
Total DFT energy (no corrections) (Ry/atom): -0.5774
DOS at the Fermi energy (states/eV/f.u.): 10.98
Formation energy (eV/f.u.): -1.5

Cell lengths 4.0555, 4.0555, 15.1533 Å; angles 90.00, 90.00, 120.00 degrees
Closest atoms and distances in Å follow each position.
Space group R3m (No. 160, hexagonal axes)
Asymmetric unit:
Pu 0.0000 0.0000 0.0000  4 Ir 2.97-3.23, 4 Ga 3.03-3.09, 3 Be 3.06
Be 0.0000 0.0000 0.4630  3 Ir 2.35, 3 Ga 2.57
Ga 0.0000 0.0000 0.2003  3 Be 2.57, 3 Ir 2.64
Ir 0.0000 0.0000 0.7872  3 Be 2.35


Entry 6:
## RbBeGa2Ir (GGA-PBE)

Data for a relaxed RbBeGa2Ir crystal.

## Properties
Total DFT energy (no corrections) (Ry/atom): -0.3002
DOS at the Fermi energy (states/eV/f.u.): 0.72
Formation energy (eV/f.u.): -0.8

Cell lengths 4.8615, 4.8615, 4.6341 Å; angles 90.00, 90.00, 90.00 degrees
Closest atoms and distances in Å follow each position.
Space group P4/mmm (No. 123)
Asymmetric unit:
Rb 0.0000 0.0000 0.0000  8 Ga 3.36, 4 Be 3.44
Be 0.5000 0.5000 0.0000  2 Ir 2.32
Ga 0.0000 0.5000 0.5000  2 Ir 2.43
Ir 0.5000 0.5000 0.5000  2 Be 2.32, 4 Ga 2.43


Entry 7:
## Sc2Be2GaIr5 (GGA-PBE)

Data for a relaxed Sc2Be2GaIr5 crystal.

## Properties
Total DFT energy (no corrections) (Ry/atom): -0.5549
DOS at the Fermi energy (states/eV/f.u.): 3.76
Formation energy (eV/f.u.): -8.1

Cell lengths 9.5048, 9.5048, 3.1072 Å; angles 90.00, 90.00, 90.00 degrees
Closest atoms and distances in Å follow each position.
Space group P4/mbm (No. 127)
Asymmetric unit:
Sc 0.1762 0.3238 0.0000  3 Be 2.68-2.90, 10 Ir 2.83-2.99
Be 0.1246 0.6246 0.0000  6 Ir 2.27-2.28
Ga 0.0000 0.0000 0.0000  8 Ir 2.61
Ir 0.0000 0.5000 0.5000  4 Be 2.28
Ir 0.0674 0.7894 0.5000  2 Be 2.27


Entry 8:
## BeGa2Si2Ir5 (GGA-PBE)

Data for a relaxed BeGa2Si2Ir5 crystal.

## Properties
Raw formation energy (eV per atom): -0.2403
Total DFT energy (no corrections) (Ry/atom): -0.4949
DOS at the Fermi energy (states/eV/f.u.): 3.84

Cell lengths 9.2263, 9.2263, 3.3669 Å; angles 90.00, 90.00, 90.00 degrees
Closest atoms and distances in Å follow each position.
Space group P4/mbm (No. 127)
Asymmetric unit:
Be 0.0000 0.0000 0.0000  8 Ir 2.56
Ga 0.1681 0.3319 0.0000  3 Si 2.55-2.83, 6 Ir 2.76
Si 0.1366 0.6366 0.0000  6 Ir 2.38-2.45, 1 Ga 2.55
Ir 0.0000 0.5000 0.5000  4 Si 2.45
Ir 0.0950 0.8141 0.5000  2 Si 2.38, 2 Be 2.56


Entry 9:
## Be2Ga2SiIr5 (GGA-PBE)

Data for a relaxed Be2Ga2SiIr5 crystal.

## Properties
Raw formation energy (eV per atom): -0.4284
Total DFT energy (no corrections) (Ry/atom): -0.4963
DOS at the Fermi energy (states/eV/f.u.): 1.64

Cell lengths 9.4370, 9.4370, 2.9655 Å; angles 90.00, 90.00, 90.00 degrees
Closest atoms and distances in Å follow each position.
Space group P4/mbm (No. 127)
Asymmetric unit:
Be 0.1297 0.3703 0.0000  6 Ir 2.28-2.29
Ga 0.1680 0.6680 0.0000  6 Ir 2.67-2.69, 3 Be 2.70-2.83, 2 Ga 2.97
Si 0.0000 0.0000 0.0000  8 Ir 2.49
Ir 0.0000 0.5000 0.5000  4 Be 2.28
Ir 0.0982 0.1885 0.5000  2 Be 2.29, 2 Si 2.49


Entry 10:
## Sm2Be4GaIr3 (GGA-PBE)

Data for a relaxed Sm2Be4GaIr3 crystal.

## Properties
Total DFT energy (no corrections) (Ry/atom): -0.4360
DOS at the Fermi energy (states/eV/f.u.): 3.91
Formation energy (eV/f.u.): -5.4

Cell lengths 3.9061, 3.9061, 10.1161 Å; angles 90.00, 90.00, 90.00 degrees
Closest atoms and distances in Å follow each position.
Space group P-4m2 (No. 115)
Asymmetric unit:
Sm 0.0000 0.5000 0.2420  6 Ir 3.01-3.26, 8 Be 3.02-3.13, 2 Ga 3.26
Be 0.0000 0.0000 0.0000  4 Ir 2.32
Be 0.0000 0.5000 0.6369  3 Ir 2.39-2.42, 2 Ga 2.39
Be 0.5000 0.5000 0.0000  4 Ir 2.32
Ga 0.0000 0.0000 0.5000  4 Be 2.39
Ir 0.0000 0.5000 0.8759  5 Be 2.32-2.42
Ir 0.5000 0.5000 0.5000  4 Be 2.39


Entry 11:
## SmBeGa2Ir2 (GGA-PBE)

Data for a relaxed SmBeGa2Ir2 crystal.

## Properties
Total DFT energy (no corrections) (Ry/atom): -0.4375
DOS at the Fermi energy (states/eV/f.u.): 2.60
Formation energy (eV/f.u.): -3.5

Cell lengths 4.2559, 4.2559, 5.5992 Å; angles 90.00, 90.00, 90.00 degrees
Closest atoms and distances in Å follow each position.
Space group P4/mmm (No. 123)
Asymmetric unit:
Sm 0.0000 0.0000 0.0000  2 Be 2.80
Be 0.0000 0.0000 0.5000  4 Ir 2.13
Ga 0.5000 0.5000 0.2267  1 Ga 2.54, 4 Ir 2.62
Ir 0.0000 0.5000 0.5000  2 Be 2.13


Entry 12:
## Sm3BeGa2Ir3 (GGA-PBE)

Data for a relaxed Sm3BeGa2Ir3 crystal.

## Properties
Total DFT energy (no corrections) (Ry/atom): -0.4592
DOS at the Fermi energy (states/eV/f.u.): 5.29
Formation energy (eV/f.u.): -5.7

Cell lengths 7.2104, 7.2104, 3.7799 Å; angles 90.00, 90.00, 120.00 degrees
Closest atoms and distances in Å follow each position.
Space group P-62m (No. 189)
Asymmetric unit:
Sm 0.0000 0.6171 0.0000  1 Be 2.76, 4 Ga 2.94, 4 Ir 3.06
Be 0.0000 0.0000 0.0000  6 Ir 2.50, 3 Sm 2.76
Ga 0.3333 0.6667 0.5000  3 Ir 2.86, 6 Sm 2.94
Ir 0.0000 0.2271 0.5000  2 Be 2.50